Entry 1:
{"formula": "Pr2CSeS", "functional": "GGA-PBE", "state": "optimized geometry", "spacegroup": "P3m1 (156)", "cell": [[-2.196, 1.398, 3.217], [-1.821, -0.517, -3.680], [-2.138, -8.562, 2.260]], "species": ["C", "Pr", "Pr", "S", "Se"], "frac_coords": [[0.000, 0.000, 0.998], [0.667, 0.333, 0.179], [0.333, 0.667, 0.839], [0.333, 0.667, 0.324], [0.667, 0.333, 0.660]]}

---

Entry 2:
{"formula": "Pr2TeCS", "functional": "GGA-PBE", "state": "optimized geometry", "spacegroup": "P3m1 (156)", "cell": [[3.944, 0.000, 0.000], [-1.972, 3.415, 0.000], [0.000, 0.000, 9.935]], "species": ["C", "Pr", "Pr", "S", "Te"], "frac_coords": [[0.000, 0.000, 0.004], [0.667, 0.333, 0.131], [0.333, 0.667, 0.822], [0.667, 0.333, 0.671], [0.333, 0.667, 0.371]]}

---

E_tot, record by record: -5.836; -5.707 eV/atom
Magnetization, record by record: 1.68; 0.01 Bohr magnetons per cell